(1)
VASP calculation (PBE-GGA) on a relaxed RbZrTa2O8 crystal.

Raw formation energy in eV/atom: -2.59
Crystal system: trigonal

Geometry as CIF:
```
data_RbZrTa2O8
_cell_length_a 6.0081
_cell_length_b 6.0081
_cell_length_c 7.7909
_cell_angle_alpha 90.00
_cell_angle_beta 90.00
_cell_angle_gamma 120.00
_symmetry_space_group_name_H-M 'P -3 m 1'
_symmetry_Int_Tables_number 164
_symmetry_space_group_name_Hall '-P 3 2"'
loop_
_atom_site_label
_atom_site_type_symbol
_atom_site_fract_x
_atom_site_fract_y
_atom_site_fract_z
Rb1 Rb 0.0000 0.0000 0.0000
Zr1 Zr 0.0000 0.0000 0.5000
Ta1 Ta 0.3333 0.6667 0.7364
O1 O 0.1622 0.3244 0.6618
O2 O 0.3333 0.6667 0.9724
```

***

(2)
VASP calculation (PBE-GGA) on a relaxed Rb2TbO3 crystal.

Raw formation energy in eV/atom: -1.95
Crystal system: orthorhombic

Geometry as CIF:
```
data_Rb2TbO3
_cell_length_a 11.258
_cell_length_b 7.425
_cell_length_c 6.384
_cell_angle_alpha 90.00
_cell_angle_beta 90.00
_cell_angle_gamma 90.00
_symmetry_space_group_name_H-M 'C m c 21'
_symmetry_Int_Tables_number 36
_symmetry_space_group_name_Hall 'C 2c -2'
loop_
_atom_site_label
_atom_site_type_symbol
_atom_site_fract_x
_atom_site_fract_y
_atom_site_fract_z
Rb1 Rb 0.164 0.139 0.000
Tb1 Tb 0.000 0.405 0.538
O1 O 0.000 0.128 0.629
O2 O 0.126 0.469 0.269
```

***

(3)
VASP calculation (PBE-GGA) on a relaxed RbTbO3 crystal.

Raw formation energy in eV/atom: -1.86
Crystal system: cubic

Geometry as CIF:
```
data_RbTbO3
_cell_length_a 4.535
_cell_length_b 4.535
_cell_length_c 4.535
_cell_angle_alpha 90.00
_cell_angle_beta 90.00
_cell_angle_gamma 90.00
_symmetry_space_group_name_H-M 'P m -3 m'
_symmetry_Int_Tables_number 221
_symmetry_space_group_name_Hall '-P 4 2 3'
loop_
_atom_site_label
_atom_site_type_symbol
_atom_site_fract_x
_atom_site_fract_y
_atom_site_fract_z
Rb1 Rb 0.000 0.000 0.000
Tb1 Tb 0.500 0.500 0.500
O1 O 0.000 0.500 0.500
```